DFT (PBE) results for a relaxed NaPmDyIn crystal.

## Properties
- SG: F-43m
- Density: 6.4 g/cm³
- ΔE_f: -137 meV/atom

Cell lengths 5.4555, 5.4555, 5.4555 Å; angles 60.00, 60.00, 60.00 degrees
Element x y z (fractional)
Pm  0.5000  0.5000  0.5000
In  0.7500  0.7500  0.7500
Dy  0.0000  0.0000  0.0000
Na  0.2500  0.2500  0.2500